[1]
A geometry-optimized MnHRuAu structure, computed with PBE-GGA.

a b c (Å): 3.0105 3.7659 8.6228
angles (deg): 90.00 90.00 90.00
Space group Imm2 (No. 44)
Asymmetric unit:
Mn  0.0000  0.0000  0.0000 (multiplicity 2)
H  0.0000  0.5000  0.0524 (multiplicity 2)
Ru  0.0000  0.0000  0.6552 (multiplicity 2)
Au  0.0000  0.0000  0.3258 (multiplicity 2)

Output
Density of states at the Fermi level ... 6.77 states/eV/cell
E above lowest polymorph ... 34 meV/atom

---

[2]
A geometry-optimized SrCa2W structure, computed with PBE-GGA.

a b c (Å): 3.4550 3.4550 35.4338
angles (deg): 90.00 90.00 120.00
Space group R-3m (No. 166, hexagonal axes)
Asymmetric unit:
Sr  0.0000  0.0000  0.0000 (multiplicity 3)
Ca  0.0000  0.0000  0.2347 (multiplicity 6)
W  0.0000  0.0000  0.5000 (multiplicity 3)

Output
Formation energy ... 0.92 eV/atom
Density of states at the Fermi level ... 12.72 states/eV/cell
E above lowest polymorph ... 75 meV/atom

---

[3]
A geometry-optimized La2Co3 structure, computed with PBE-GGA.

a b c (Å): 3.9559 3.9559 22.9602
angles (deg): 90.00 90.00 120.00
Space group R-3m (No. 166, hexagonal axes)
Asymmetric unit:
La  0.0000  0.0000  0.0932 (multiplicity 6)
Co  0.0000  0.0000  0.3327 (multiplicity 6)
Co  0.0000  0.0000  0.5000 (multiplicity 3)

Output
Formation energy ... 0.03 eV/atom
Density of states at the Fermi level ... 10.78 states/eV/cell

---

[4]
A geometry-optimized La2PrDy6Tm3 structure, computed with PBE-GGA.

a b c (Å): 6.2029 10.7435 11.8475
angles (deg): 90.00 100.06 90.00
Space group C2/m (No. 12)
Asymmetric unit:
La  0.0000  0.1665  0.0000 (multiplicity 4)
Pr  0.0000  0.5000  0.0000 (multiplicity 2)
Dy  0.2462  0.5000  0.7430 (multiplicity 4)
Dy  0.2467  0.1665  0.7430 (multiplicity 8)
Tm  0.0000  0.0000  0.5000 (multiplicity 2)
Tm  0.0000  0.3334  0.5000 (multiplicity 4)

Output
Formation energy ... 0.03 eV/atom
Density of states at the Fermi level ... 34.05 states/eV/cell

---

[5]
A geometry-optimized RbAcP2O6 structure, computed with PBE-GGA.

a b c (Å): 5.8585 5.8585 19.9637
angles (deg): 90.00 90.00 120.00
Space group R-3 (No. 148, hexagonal axes)
Asymmetric unit:
Rb  0.0000  0.0000  0.0000 (multiplicity 3)
Ac  0.0000  0.0000  0.5000 (multiplicity 3)
P  0.0000  0.0000  0.2597 (multiplicity 6)
O  0.0453  0.2744  0.2386 (multiplicity 18)

Output
Formation energy (no corrections) ... -2.318 eV/atom

---

[6]
A geometry-optimized GaAgPb structure, computed with PBE-GGA.

a b c (Å): 4.7133 4.7133 3.6235
angles (deg): 90.00 90.00 120.00
Space group P-6m2 (No. 187)
Asymmetric unit:
Ga  0.0000  0.0000  0.0000 (multiplicity 1)
Ag  0.3333  0.6667  0.0000 (multiplicity 1)
Pb  0.6667  0.3333  0.5000 (multiplicity 1)

Output
Formation energy ... 0.09 eV/atom
Density of states at the Fermi level ... 1.54 states/eV/cell

---

Q: Which formula does entry 4 have?
A: La2PrDy6Tm3